No. 1
VASP calculation (PBE) on an optimized crystal structure of LiSnI2.

Computed properties:
Volume ... 34.76 A^3/atom
Offset from the most stable computed form ... 7.78 kJ per mole of atoms
Space group ... I-42d
Total magnetization ... 1.91 μB/cell

Lattice parameters (Å, degrees): 8.088 8.088 7.126 55.42 55.42 90.00
Sites, in units of the cell vectors:
I  0.580  0.125  0.250
I  0.170  0.625  0.250
I  0.375  0.420  0.750
I  0.875  0.830  0.750
Sn  0.000  0.000  0.000
Sn  0.750  0.250  0.500
Li  0.500  0.500  0.000
Li  0.250  0.750  0.500

---

No. 2
VASP calculation (PBE) on an optimized crystal structure of Tb2Pr4NdSm2.

Computed properties:
Formation energy ... 15 meV/atom
Volume ... 34.58 A^3/atom
Space group ... C2/m
Total magnetization ... 0.00 μB/cell

Lattice parameters (Å, degrees): 5.176 8.182 8.166 107.49 90.00 108.44
Sites, in units of the cell vectors:
Tb  0.332  0.664  0.001
Tb  0.668  0.336  0.999
Pr  0.777  0.555  0.669
Pr  0.223  0.445  0.331
Pr  0.555  0.109  0.332
Pr  0.445  0.891  0.668
Nd  0.000  0.000  0.000
Sm  0.888  0.777  0.331
Sm  0.112  0.223  0.669

---

No. 3
VASP calculation (PBE) on an optimized crystal structure of HoGa4Pd8.

Computed properties:
Formation energy ... -661 meV/atom
Volume ... 16.16 A^3/atom
Space group ... I4/mmm
Total magnetization ... 0.00 μB/cell

Lattice parameters (Å, degrees): 5.357 6.810 6.810 81.10 66.84 66.84
Sites, in units of the cell vectors:
Ho  0.000  0.000  0.000
Ga  0.000  0.000  0.500
Ga  0.500  0.000  0.500
Ga  0.000  0.500  0.000
Ga  0.500  0.500  0.000
Pd  0.000  0.335  0.665
Pd  0.000  0.665  0.335
Pd  0.335  0.665  0.665
Pd  0.665  0.335  0.335
Pd  0.500  0.778  0.222
Pd  0.500  0.222  0.778
Pd  0.278  0.222  0.222
Pd  0.722  0.778  0.778

---

No. 4
VASP calculation (PBE) on an optimized crystal structure of Li2ErBO4.

Computed properties:
Final energy ... -53.84 eV per formula unit
Volume ... 9.26 A^3/atom
Space group ... Cmcm
Total magnetization ... 0.00 μB/cell

Lattice parameters (Å, degrees): 3.084 5.315 9.442 90.00 90.00 106.87
Sites, in units of the cell vectors:
Li  0.381  0.762  0.538
Li  0.619  0.238  0.038
Li  0.619  0.238  0.462
Li  0.381  0.762  0.962
Er  0.067  0.133  0.750
Er  0.933  0.867  0.250
B  0.787  0.573  0.750
B  0.213  0.427  0.250
O  0.285  0.570  0.129
O  0.715  0.430  0.629
O  0.715  0.430  0.871
O  0.285  0.570  0.371
O  0.000  0.000  0.500
O  0.000  0.000  0.000
O  0.397  0.793  0.750
O  0.603  0.207  0.250

---

No. 5
VASP calculation (PBE) on an optimized crystal structure of NdEr2Si.

Computed properties:
Final energy ... -19.40 eV per formula unit
Volume ... 29.57 A^3/atom
Space group ... R-3m
Total magnetization ... 0.00 μB/cell

Lattice parameters (Å, degrees): 3.546 3.546 11.051 80.77 80.77 60.00
Sites, in units of the cell vectors:
Si  0.500  0.500  0.500
Nd  0.000  0.000  0.000
Er  0.107  0.107  0.678
Er  0.893  0.893  0.322

---

No. 6
VASP calculation (PBE) on an optimized crystal structure of Tm2Mg6Sc.

Computed properties:
Formation energy ... -36 meV/atom
Volume ... 24.78 A^3/atom
Space group ... C2/m
Total magnetization ... 0.00 μB/cell

Lattice parameters (Å, degrees): 3.225 8.928 11.012 113.92 125.72 90.00
Sites, in units of the cell vectors:
Tm  0.666  0.667  0.333
Tm  0.334  0.333  0.667
Mg  0.159  0.330  0.330
Mg  0.841  0.000  0.670
Mg  0.841  0.670  0.670
Mg  0.500  0.329  0.000
Mg  0.159  0.000  0.330
Mg  0.500  0.671  0.000
Sc  0.000  0.000  0.000

---

No. 7
VASP calculation (PBE) on an optimized crystal structure of AcSb2Au2.

Computed properties:
Volume ... 28.60 A^3/atom
Offset from the most stable computed form ... 7.41 kJ per mole of atoms
Space group ... Pm
Total magnetization ... 0.00 μB/cell

Lattice parameters (Å, degrees): 4.866 4.760 6.639 90.00 111.54 90.00
Sites, in units of the cell vectors:
Ac  0.051  0.800  0.103
Sb  0.360  0.800  0.718
Sb  0.602  0.300  0.205
Au  0.749  0.800  0.496
Au  0.238  0.300  0.478

---

No. 8
VASP calculation (PBE) on an optimized crystal structure of BeInSb2.

Computed properties:
Volume ... 23.88 A^3/atom
Offset from the most stable computed form ... 18.90 kJ per mole of atoms
Space group ... Cmmm
Total magnetization ... 0.00 μB/cell

Lattice parameters (Å, degrees): 3.448 3.448 8.507 90.00 90.00 109.19
Sites, in units of the cell vectors:
Sb  0.000  0.000  0.061
Sb  0.000  0.000  0.439
Be  0.500  0.500  0.250
In  0.500  0.500  0.750